[1]
Density functional theory data (PBE) for BeS2N after structural relaxation.

a b c (Å): 5.787 5.787 5.787
angles (deg): 34.12 34.12 34.12
Sites, in units of the cell vectors:
Be1 0.500 0.500 0.500
S1 0.904 0.904 0.904
S2 0.096 0.096 0.096
N1 0.000 0.000 0.000

Space-group type: R-3m
Energy above the most stable polymorph in this dataset, eV/atom: 0.0000
Total energy, eV/atom: -4.737
Fermi-level density of states, states/eV/atom: 0.27



[2]
Density functional theory data (PBE) for BeSN3 after structural relaxation.

a b c (Å): 3.497 3.497 3.497
angles (deg): 90.00 90.00 90.00
Sites, in units of the cell vectors:
Be1 0.000 0.000 0.000
S1 0.500 0.500 0.500
N1 0.000 0.500 0.000
N2 0.000 0.000 0.500
N3 0.500 0.000 0.000

Space-group type: Pm-3m
Total energy, eV/atom: -4.545
Fermi-level density of states, states/eV/atom: 0.74



Record-wise formation energy without anion corrections values, in eV/atom: 0.340; 2.021